# Al2GaN3

Al2GaN3 after structural relaxation (PBE-GGA, Alexandria via LeMat-Bulk).

Lattice parameters (Å, degrees): 5.9972 5.9972 7.4759 104.31 104.31 30.51
Last column: nearest neighbours and their distance in Å.
Fractional positions:
Al  0.0000  0.0000  0.0000  4 N 1.90-1.92
Al  0.0554  0.0554  0.6127  4 N 1.89-1.92
Al  0.3342  0.3342  0.6677  4 N 1.91-1.92
Al  0.6650  0.6650  0.3367  4 N 1.91
Ga  0.3883  0.3883  0.2811  4 N 1.95-1.97
Ga  0.7207  0.7207  0.9449  4 N 1.95-1.98
N  0.2064  0.2064  0.7872  2 Al 1.89-1.91, 2 Ga 1.95
N  0.2585  0.2585  0.4086  3 Al 1.91, 1 Ga 1.97
N  0.5425  0.5425  0.4670  3 Al 1.90-1.91, 1 Ga 1.96
N  0.5925  0.5925  0.0762  3 Al 1.91, 1 Ga 1.98
N  0.8759  0.8759  0.1247  1 Al 1.90, 3 Ga 1.95
N  0.9296  0.9296  0.7383  4 Al 1.92

Magnetization: 0.000 μB/atom
Formation energy from raw total energies: -1.0939 eV per atom
Relative energy among the computed polymorphs: 0 meV per atom
SG: Cm



# AlGaN2

AlGaN2 after structural relaxation (PBE-GGA, Alexandria via LeMat-Bulk).

Lattice parameters (Å, degrees): 3.1701 3.1701 5.1403 90.00 90.00 120.00
Last column: nearest neighbours and their distance in Å.
Fractional positions:
Al  0.0000  0.0000  0.0000  4 N 1.91-1.92
Ga  0.6667  0.3333  0.4981  4 N 1.95-1.98
N  0.0000  0.0000  0.6288  1 Al 1.91, 3 Ga 1.95
N  0.6667  0.3333  0.1126  3 Al 1.92, 1 Ga 1.98

Magnetization: 0.000 μB/atom
Formation energy from raw total energies: -0.9368 eV per atom
Relative energy among the computed polymorphs: 0 meV per atom
SG: P3m1



# AlGaN2

AlGaN2 after structural relaxation (PBE-GGA, Alexandria via LeMat-Bulk).

Lattice parameters (Å, degrees): 3.7851 3.7851 3.7851 60.00 60.00 60.00
Last column: nearest neighbours and their distance in Å.
Fractional positions:
Al  0.0000  0.0000  0.0000  8 N 2.32
Ga  0.5000  0.5000  0.5000  8 N 2.32
N  0.2500  0.2500  0.2500  4 Al 2.32, 4 Ga 2.32
N  0.7500  0.7500  0.7500  4 Al 2.32, 4 Ga 2.32

Magnetization: 0.000 μB/atom
Formation energy from raw total energies: 0.7512 eV per atom
Relative energy among the computed polymorphs: 1688 meV per atom
SG: Fm-3m



# AlGaN2

AlGaN2 after structural relaxation (PBE-GGA, Alexandria via LeMat-Bulk).

Lattice parameters (Å, degrees): 5.8704 5.8704 5.8704 31.86 31.86 31.86
Last column: nearest neighbours and their distance in Å.
Fractional positions:
Al  0.0000  0.0000  0.0000  2 N 1.75
Ga  0.5000  0.5000  0.5000  6 N 2.13
N  0.1048  0.1048  0.1048  1 Al 1.75
N  0.8952  0.8952  0.8952  1 Al 1.75

Magnetization: 0.000 μB/atom
Formation energy from raw total energies: 0.1258 eV per atom
Relative energy among the computed polymorphs: 1063 meV per atom
SG: R-3m



# AlGa3N

AlGa3N after structural relaxation (PBE-GGA, Alexandria via LeMat-Bulk).

Lattice parameters (Å, degrees): 4.9415 4.9415 4.9415 90.00 90.00 90.00
Last column: nearest neighbours and their distance in Å.
Fractional positions:
Al  0.0000  0.0000  0.0000  6 Ga 2.47
Ga  0.0000  0.0000  0.5000  2 Al 2.47
Ga  0.0000  0.5000  0.0000  2 Al 2.47
Ga  0.5000  0.0000  0.0000  2 Al 2.47
N  0.5000  0.5000  0.5000  12 Ga 3.49

Magnetization: 0.269 μB/atom
Formation energy from raw total energies: 1.2925 eV per atom
Relative energy among the computed polymorphs: 845 meV per atom
SG: Pm-3m



# AlGaN3

AlGaN3 after structural relaxation (PBE-GGA, Alexandria via LeMat-Bulk).

Lattice parameters (Å, degrees): 3.7561 3.7561 3.7561 90.00 90.00 90.00
Last column: nearest neighbours and their distance in Å.
Fractional positions:
Al  0.0000  0.0000  0.0000  6 N 1.88
Ga  0.5000  0.5000  0.5000  12 N 2.66
N  0.0000  0.0000  0.5000  2 Al 1.88
N  0.0000  0.5000  0.0000  2 Al 1.88
N  0.5000  0.0000  0.0000  2 Al 1.88

Magnetization: 0.339 μB/atom
Formation energy from raw total energies: 1.0392 eV per atom
SG: Pm-3m